# 1
Compound: Fe2SnTe
Source: Alexandria via LeMat-Bulk
Functional: PBE
Structure: optimized geometry

Computed properties:
Total magnetic moment in μB/atom: 0.93
E_tot in eV/atom: -5.5825
N(E_F) in states/eV per cell: 4.19
Formation energy without anion corrections in eV per atom: 0.435

```
4
Lattice="0.773 -4.135 1.691 -2.382 -3.549 -1.511 2.012 -3.156 -2.559" Properties=species:S:1:pos:R:3 pbc="T T T"
Fe 0.302 -8.131 -1.784
Fe 0.101 -2.710 -0.595
Te 0.201 -5.420 -1.190
Sn 0.000 0.000 0.000
```

***

# 2
Compound: TbCe2SmBi4
Source: Alexandria via LeMat-Bulk
Functional: PBE
Structure: optimized geometry

Computed properties:
Energy of formation from the pure elements in kJ/mol of formula units: -654
Total magnetic moment in μB/atom: 0.21
E_tot in eV/atom: -5.4405
N(E_F) in states/eV per cell: 14.89

```
8
Lattice="-2.238 3.679 -1.497 -3.733 0.559 6.955 4.216 4.554 4.885" Properties=species:S:1:pos:R:3 pbc="T T T"
Ce 0.989 4.116 1.694
Ce 4.216 4.554 4.885
Tb 0.241 2.557 5.920
Sm -2.986 2.119 2.729
Bi -2.836 3.410 5.677
Bi -2.123 4.964 1.487
Bi 0.366 3.828 8.856
Bi 1.079 5.381 4.666
```

***

# 3
Compound: Ta2NbCu
Source: Alexandria via LeMat-Bulk
Functional: PBE
Structure: optimized geometry

Computed properties:
Energy of formation from the pure elements in kJ/mol of formula units: 236
Total magnetic moment in μB/atom: 0.00
E_tot in eV/atom: -8.8556
N(E_F) in states/eV per cell: 3.05

```
8
Lattice="-2.357 3.046 0.393 -0.699 -0.049 -3.808 -9.017 -4.484 -0.256" Properties=species:S:1:pos:R:3 pbc="T T T"
Nb 0.000 0.000 0.000
Nb -6.451 0.031 -0.785
Ta -7.906 -2.239 -1.460
Ta -2.978 -0.781 -2.396
Ta -3.822 0.787 -0.293
Ta -9.439 -0.741 -3.192
Cu -5.622 -1.517 -2.886
Cu -1.528 1.498 -1.707
```

***

# 4
Compound: ZrTl2Os
Source: Alexandria via LeMat-Bulk
Functional: PBE
Structure: optimized geometry

Computed properties:
Energy of formation from the pure elements in kJ/mol of formula units: 281
Total magnetic moment in μB/atom: 0.00
E_tot in eV/atom: -5.3992
N(E_F) in states/eV per cell: 7.56

```
8
Lattice="7.940 0.000 0.000 0.000 7.940 0.000 3.970 3.970 2.879" Properties=species:S:1:pos:R:3 pbc="T T T"
Tl 5.955 5.733 2.160
Tl 1.763 5.955 0.720
Tl 6.176 1.985 0.720
Tl 9.925 10.146 2.160
Zr 3.970 3.970 0.000
Zr 3.970 7.940 1.440
Os 0.000 0.000 0.000
Os 7.940 3.970 1.440
```

***

What did the second record say?
Compound: TbCe2SmBi4
Source: Alexandria via LeMat-Bulk
Functional: PBE
Structure: optimized geometry

Computed properties:
Energy of formation from the pure elements in kJ/mol of formula units: -654
Total magnetic moment in μB/atom: 0.21
E_tot in eV/atom: -5.4405
N(E_F) in states/eV per cell: 14.89

```
8
Lattice="-2.238 3.679 -1.497 -3.733 0.559 6.955 4.216 4.554 4.885" Properties=species:S:1:pos:R:3 pbc="T T T"
Ce 0.989 4.116 1.694
Ce 4.216 4.554 4.885
Tb 0.241 2.557 5.920
Sm -2.986 2.119 2.729
Bi -2.836 3.410 5.677
Bi -2.123 4.964 1.487
Bi 0.366 3.828 8.856
Bi 1.079 5.381 4.666
```

***

> Which of these has the highest total magnetic moment?

Fe2SnTe

***

> Which value of E_tot does entry 1 give?

-5.5825 eV/atom

***

> What is the total magnetic moment in the second record?

0.21 μB/atom